1.
# Er6TlSb3

Crystalline Er6TlSb3 at its relaxed geometry (GGA-PBE, Alexandria via LeMat-Bulk).

abc: 8.373 8.127 8.127
angles: 89.04 90.00 90.00
Atoms (fractional coordinates):
Er  0.649  0.659  0.659
Er  0.899  0.003  0.498
Sb  0.399  0.144  0.148
Tl  0.399  0.647  0.353
Sb  0.899  0.148  0.144
Er  0.399  0.498  0.003
Tl  0.899  0.353  0.647
Sb  0.899  0.856  0.852
Er  0.148  0.841  0.159
Er  0.149  0.659  0.659
Sb  0.399  0.852  0.856
Er  0.649  0.842  0.158
Er  0.649  0.341  0.341
Er  0.899  0.502  0.997
Er  0.399  0.997  0.502
Er  0.149  0.158  0.842
Sb  0.398  0.358  0.642
Er  0.149  0.341  0.341
Sb  0.898  0.642  0.358
Er  0.648  0.159  0.841

Calculated values
DOS(E_F): 16.62 states/eV per cell
Formation energy (no corrections): -738.2 meV/atom
VASP energy: -98.984 eV for the cell shown
Symmetry: Cmcm (63)

---

2.
# Rb3Ce2F8

Crystalline Rb3Ce2F8 at its relaxed geometry (GGA-PBE, Alexandria via LeMat-Bulk).

abc: 4.258 8.511 7.941
angles: 122.41 90.00 90.00
Each line ends with the local moment (μB).
Atoms (fractional coordinates):
Ce  0.500  0.257  0.515  1.22
F  0.500  0.093  0.702  0.00
Rb  0.000  0.297  0.000  0.02
F  0.500  0.391  0.298  0.00
F  0.500  0.907  0.298  0.00
Rb  0.500  0.000  0.000  0.01
F  0.000  0.341  0.682  0.00
F  0.500  0.609  0.702  0.00
Rb  0.000  0.703  0.000  0.02
F  0.000  0.137  0.275  0.00
Ce  0.500  0.743  0.485  1.22
F  0.000  0.659  0.318  0.00
F  0.000  0.863  0.725  0.00

Calculated values
DOS(E_F): 16.58 states/eV per cell
Formation energy (no corrections): -3177.8 meV/atom
VASP energy: -71.052 eV for the cell shown
Symmetry: Cmmm (65)

---

3.
# ThZrOsRu

Crystalline ThZrOsRu at its relaxed geometry (GGA-PBE, Alexandria via LeMat-Bulk).

abc: 4.840 4.840 4.840
angles: 60.00 60.00 60.00
Atoms (fractional coordinates):
Zr  0.750  0.750  0.750
Ru  0.500  0.500  0.500
Os  0.000  0.000  0.000
Th  0.250  0.250  0.250

Calculated values
DOS(E_F): 1.88 states/eV per cell
VASP energy: -37.755 eV for the cell shown
Symmetry: F-43m (216)
Energy relative to the elements: -30.9 kJ per mole of atoms

---

4.
# La3Ga3Ag

Crystalline La3Ga3Ag at its relaxed geometry (GGA-PBE, Alexandria via LeMat-Bulk).

abc: 4.674 6.024 14.357
angles: 87.51 80.63 67.17
Atoms (fractional coordinates):
La  0.741  0.747  0.771
La  0.611  0.708  0.070
La  0.389  0.292  0.930
Ga  0.972  0.832  0.224
La  0.259  0.253  0.229
La  0.456  0.708  0.381
Ga  0.897  0.127  0.079
Ga  0.103  0.873  0.921
Ag  0.250  0.894  0.606
Ga  0.125  0.291  0.458
La  0.544  0.292  0.619
Ag  0.750  0.106  0.394
Ga  0.028  0.168  0.776
Ga  0.875  0.709  0.542

Calculated values
DOS(E_F): 10.45 states/eV per cell
VASP energy: -61.028 eV for the cell shown
Symmetry: C2/m (12)
Energy relative to the elements: -52.4 kJ per mole of atoms

---

5.
# Dy2TmGa

Crystalline Dy2TmGa at its relaxed geometry (GGA-PBE, Alexandria via LeMat-Bulk).

abc: 3.465 3.465 11.756
angles: 81.53 81.53 60.00
Atoms (fractional coordinates):
Ga  0.000  0.000  0.000
Dy  0.086  0.086  0.742
Tm  0.500  0.500  0.500
Dy  0.914  0.914  0.258

Calculated values
DOS(E_F): 4.15 states/eV per cell
Distance to the lowest polymorph of the same formula: 0.417 eV/atom
VASP energy: -16.152 eV for the cell shown
Symmetry: R-3m (166)
Energy relative to the elements: 13.3 kJ per mole of atoms

---

6.
# InBRh2

Crystalline InBRh2 at its relaxed geometry (GGA-PBE, Alexandria via LeMat-Bulk).

abc: 3.212 3.212 6.714
angles: 76.16 76.16 60.00
Atoms (fractional coordinates):
Rh  0.277  0.277  0.169
Rh  0.056  0.056  0.833
B  0.667  0.667  0.999
In  0.500  0.500  0.499

Calculated values
DOS(E_F): 1.70 states/eV per cell
VASP energy: -25.567 eV for the cell shown
Symmetry: R3m (160)
Energy relative to the elements: -34.9 kJ per mole of atoms